(1)
# YRh4Au

YRh4Au after structural relaxation (GGA-PBEsol, the Alexandria database).

Cell: 5.162 5.162 5.162 Å, 60.00 60.00 60.00°
Positions (direct):
Y1 0.000 0.000 0.000
Rh1 0.127 0.624 0.624
Rh2 0.624 0.127 0.624
Rh3 0.624 0.624 0.127
Rh4 0.624 0.624 0.624
Au1 0.250 0.250 0.250

Summary:
- D(E_F): 8.92 states/eV/f.u.
- Crystal system: cubic
- DFT formation energy: -0.285 eV/atom
- Raw total energy: -7.50 eV/atom

(2)
# SrLuCuSe3

SrLuCuSe3 after structural relaxation (GGA-PBEsol, the Alexandria database).

Cell: 6.961 6.961 10.277 Å, 90.00 90.00 146.67°
Positions (direct):
Sr1 0.248 0.752 0.750
Sr2 0.752 0.248 0.250
Lu1 0.000 0.000 0.000
Lu2 0.000 0.000 0.500
Cu1 0.471 0.529 0.250
Cu2 0.529 0.471 0.750
Se1 0.077 0.923 0.250
Se2 0.361 0.639 0.061
Se3 0.361 0.639 0.439
Se4 0.639 0.361 0.561
Se5 0.639 0.361 0.939
Se6 0.923 0.077 0.750

Summary:
- Crystal system: orthorhombic
- Raw formation energy: -1.553 eV per atom
- Raw total energy: -5.32 eV/atom

What did the first record say?
# YRh4Au

YRh4Au after structural relaxation (GGA-PBEsol, the Alexandria database).

Cell: 5.162 5.162 5.162 Å, 60.00 60.00 60.00°
Positions (direct):
Y1 0.000 0.000 0.000
Rh1 0.127 0.624 0.624
Rh2 0.624 0.127 0.624
Rh3 0.624 0.624 0.127
Rh4 0.624 0.624 0.624
Au1 0.250 0.250 0.250

Summary:
- D(E_F): 8.92 states/eV/f.u.
- Crystal system: cubic
- DFT formation energy: -0.285 eV/atom
- Raw total energy: -7.50 eV/atom